Entry 1:
The following is a DFT calculation (PBE-GGA) of a relaxed BPd2RhPb crystal.

ΔE_f   -0.13 eV/atom
Calculated density   11.35 Mg/m³
Space group   No. 123
E_tot   -5.7518 eV per atom
Total magnetic moment   0.00 μB/cell

Lattice parameters (Å, degrees): 4.3210 4.3210 4.1817 90.00 90.00 90.00
With the nearest neighbours (Å) after each atom.
Element x y z (fractional)
1 B 0.0000 0.0000 0.0000  2 Rh 2.09, 4 Pd 2.16
2 Pd 0.0000 0.5000 0.0000  2 B 2.16
3 Pd 0.5000 0.0000 0.0000  2 B 2.16
4 Rh 0.0000 0.0000 0.5000  2 B 2.09
5 Pb 0.5000 0.5000 0.5000  8 Pd 3.01, 4 Rh 3.06


Entry 2:
The following is a DFT calculation (PBE-GGA) of a relaxed BPdRh2Pb crystal.

ΔE_f   -0.16 eV/atom
Calculated density   11.60 Mg/m³
Space group   No. 123
E_tot   -6.2184 eV per atom
Total magnetic moment   0.00 μB/cell

Lattice parameters (Å, degrees): 4.1966 4.1966 4.3091 90.00 90.00 90.00
With the nearest neighbours (Å) after each atom.
Element x y z (fractional)
1 B 0.0000 0.0000 0.0000  4 Rh 2.10, 2 Pd 2.15
2 Pd 0.0000 0.0000 0.5000  2 B 2.15
3 Rh 0.0000 0.5000 0.0000  2 B 2.10
4 Rh 0.5000 0.0000 0.0000  2 B 2.10
5 Pb 0.5000 0.5000 0.5000  4 Pd 2.97, 8 Rh 3.01


Entry 3:
The following is a DFT calculation (PBE-GGA) of a relaxed BSbPd6Pb2 crystal.

Calculated density   10.55 Mg/m³
Space group   No. 2
E_tot   -5.1903 eV per atom
Total magnetic moment   0.00 μB/cell

Lattice parameters (Å, degrees): 5.7697 5.8598 6.9766 91.62 111.08 118.91
With the nearest neighbours (Å) after each atom.
Element x y z (fractional)
1 B 0.0000 0.0000 0.0000  6 Pd 2.09-2.12
2 Sb 0.0000 0.5000 0.5000  6 Pd 2.72-2.78
3 Pd 0.1599 0.3337 0.8686  1 B 2.12
4 Pd 0.1757 0.8348 0.8683  1 B 2.09
5 Pd 0.4060 0.2163 0.2724  1 B 2.12
6 Pd 0.5940 0.7837 0.7276  1 B 2.12
7 Pd 0.8243 0.1652 0.1317  1 B 2.09
8 Pd 0.8401 0.6663 0.1314  1 B 2.12
9 Pb 0.4762 0.7470 0.2873  7 Pd 2.86-3.04
10 Pb 0.5238 0.2530 0.7127  7 Pd 2.86-3.04


Entry 4:
The following is a DFT calculation (PBE-GGA) of a relaxed BPdPbSe2 crystal.

Calculated density   8.07 Mg/m³
Space group   No. 123
E_tot   -3.8506 eV per atom
Total magnetic moment   0.00 μB/cell

Lattice parameters (Å, degrees): 4.4745 4.4745 4.9558 90.00 90.00 90.00
With the nearest neighbours (Å) after each atom.
Element x y z (fractional)
1 B 0.0000 0.0000 0.0000  4 Se 2.24, 2 Pb 2.48
2 Pd 0.5000 0.5000 0.5000  4 Pb 3.16, 8 Se 3.34
3 Pb 0.0000 0.0000 0.5000  2 B 2.48
4 Se 0.0000 0.5000 0.0000  2 B 2.24
5 Se 0.5000 0.0000 0.0000  2 B 2.24


Entry 5:
The following is a DFT calculation (PBE-GGA) of a relaxed SnBPd6Pb2 crystal.

ΔE_f   -0.27 eV/atom
Calculated density   10.60 Mg/m³
Space group   No. 2
E_tot   -5.1971 eV per atom
Total magnetic moment   0.00 μB/cell

Lattice parameters (Å, degrees): 5.6373 5.8235 7.0155 92.80 109.71 118.12
With the nearest neighbours (Å) after each atom.
Element x y z (fractional)
1 Sn 0.0000 0.0000 0.0000  6 Pd 2.71-2.82
2 B 0.0000 0.5000 0.5000  6 Pd 2.08-2.13
3 Pd 0.1536 0.8345 0.3705  1 B 2.12
4 Pd 0.1838 0.3366 0.3677  1 B 2.08
5 Pd 0.4000 0.7250 0.7749  1 B 2.13
6 Pd 0.6000 0.2750 0.2251  1 B 2.13
7 Pd 0.8162 0.6634 0.6323  1 B 2.08
8 Pd 0.8464 0.1655 0.6295  1 B 2.12
9 Pb 0.4770 0.2526 0.7882  8 Pd 2.82-3.12
10 Pb 0.5230 0.7474 0.2118  8 Pd 2.82-3.12


Entry 6:
The following is a DFT calculation (PBE-GGA) of a relaxed TiBPd2Pb crystal.

ΔE_f   -0.18 eV/atom
Calculated density   9.80 Mg/m³
Space group   No. 123
E_tot   -5.9160 eV per atom
Total magnetic moment   0.00 μB/cell

Lattice parameters (Å, degrees): 4.2660 4.2660 4.4551 90.00 90.00 90.00
With the nearest neighbours (Å) after each atom.
Element x y z (fractional)
1 Ti 0.0000 0.0000 0.0000  2 B 2.23
2 B 0.0000 0.0000 0.5000  4 Pd 2.13, 2 Ti 2.23
3 Pd 0.0000 0.5000 0.5000  2 B 2.13
4 Pd 0.5000 0.0000 0.5000  2 B 2.13
5 Pb 0.5000 0.5000 0.0000  4 Ti 3.02, 8 Pd 3.08


Entry 7:
The following is a DFT calculation (PBE-GGA) of a relaxed Y2BPdPb crystal.

ΔE_f   -0.42 eV/atom
Calculated density   7.54 Mg/m³
Space group   No. 123
E_tot   -6.1176 eV per atom
Total magnetic moment   0.00 μB/cell

Lattice parameters (Å, degrees): 5.1377 5.1377 4.1879 90.00 90.00 90.00
With the nearest neighbours (Å) after each atom.
Element x y z (fractional)
1 Y 0.0000 0.5000 0.0000  2 B 2.57
2 Y 0.5000 0.0000 0.0000  2 B 2.57
3 B 0.0000 0.0000 0.0000  2 Pd 2.09
4 Pd 0.0000 0.0000 0.5000  2 B 2.09
5 Pb 0.5000 0.5000 0.5000  8 Y 3.31, 4 Pd 3.63


Entry 8:
The following is a DFT calculation (PBE-GGA) of a relaxed Pm6BPb2 crystal.

ΔE_f   -0.25 eV/atom
Calculated density   8.16 Mg/m³
Space group   No. 189
E_tot   -4.9865 eV per atom
Total magnetic moment   3.34 μB/cell

Lattice parameters (Å, degrees): 8.6592 8.6592 4.0581 90.00 90.00 120.00
With the nearest neighbours (Å) after each atom.
Element x y z (fractional)
1 Pm 0.0000 0.4084 0.0000  4 Pb 3.32, 1 B 3.54, 4 Pm 3.68
2 Pm 0.0000 0.7776 0.5000  2 B 2.80
3 Pm 0.2224 0.2224 0.5000  2 B 2.80
4 Pm 0.4084 0.0000 0.0000  4 Pb 3.32, 1 B 3.54, 4 Pm 3.68
5 Pm 0.5916 0.5916 0.0000  4 Pb 3.32, 1 B 3.54, 4 Pm 3.68
6 Pm 0.7776 0.0000 0.5000  2 B 2.80
7 B 0.0000 0.0000 0.0000  6 Pm 2.80
8 Pb 0.3333 0.6667 0.5000  9 Pm 3.32-3.47
9 Pb 0.6667 0.3333 0.5000  9 Pm 3.32-3.47


Entry 9:
The following is a DFT calculation (PBE-GGA) of a relaxed Pm4BPb2 crystal.

ΔE_f   -0.36 eV/atom
Calculated density   7.88 Mg/m³
Space group   No. 139
E_tot   -5.0832 eV per atom
Total magnetic moment   0.00 μB/cell

Lattice parameters (Å, degrees): 9.1255 9.1255 9.1255 148.08 148.08 45.77
With the nearest neighbours (Å) after each atom.
Element x y z (fractional)
1 Pm 0.0000 0.5000 0.5000  2 B 2.51
2 Pm 0.1660 0.1660 0.0000  1 B 2.79
3 Pm 0.5000 0.0000 0.5000  2 B 2.51
4 Pm 0.8340 0.8340 0.0000  1 B 2.79
5 B 0.0000 0.0000 0.0000  6 Pm 2.51-2.79
6 Pb 0.3606 0.3606 0.0000  9 Pm 3.27-3.58
7 Pb 0.6394 0.6394 0.0000  9 Pm 3.27-3.58


Entry 10:
The following is a DFT calculation (PBE-GGA) of a relaxed Pm4B3Rh12Pb crystal.

ΔE_f   -0.47 eV/atom
Calculated density   9.87 Mg/m³
Space group   No. 229
E_tot   -7.0165 eV per atom
Total magnetic moment   0.00 μB/cell

Lattice parameters (Å, degrees): 7.6577 7.6577 7.6577 109.47 109.47 109.47
With the nearest neighbours (Å) after each atom.
Element x y z (fractional)
1 Pm 0.0000 0.0000 0.5000  12 Rh 3.13-3.14
2 Pm 0.0000 0.5000 0.0000  12 Rh 3.13-3.14
3 Pm 0.5000 0.0000 0.0000  12 Rh 3.13-3.14
4 Pm 0.5000 0.5000 0.5000  12 Rh 3.13-3.14
5 B 0.0000 0.5000 0.5000  2 Rh 1.92
6 B 0.5000 0.0000 0.5000  2 Rh 1.92
7 B 0.5000 0.5000 0.0000  2 Rh 1.92
8 Rh 0.0000 0.2833 0.2833  1 B 1.92
9 Rh 0.0000 0.7167 0.7167  1 B 1.92
10 Rh 0.2500 0.5000 0.7500  2 B 2.21
11 Rh 0.2500 0.7500 0.5000  2 B 2.21
12 Rh 0.2833 0.0000 0.2833  1 B 1.92
13 Rh 0.2833 0.2833 0.0000  1 B 1.92
14 Rh 0.5000 0.2500 0.7500  2 B 2.21
15 Rh 0.5000 0.7500 0.2500  2 B 2.21
16 Rh 0.7167 0.0000 0.7167  1 B 1.92
17 Rh 0.7167 0.7167 0.0000  1 B 1.92
18 Rh 0.7500 0.2500 0.5000  2 B 2.21
19 Rh 0.7500 0.5000 0.2500  2 B 2.21
20 Pb 0.0000 0.0000 0.0000  6 Rh 2.51


Entry 11:
The following is a DFT calculation (PBE-GGA) of a relaxed Pm3B2Rh9Pb crystal.

ΔE_f   -0.49 eV/atom
Calculated density   9.69 Mg/m³
Space group   No. 164
E_tot   -6.9901 eV per atom
Total magnetic moment   0.00 μB/cell

Lattice parameters (Å, degrees): 5.8948 5.8948 9.0509 90.00 90.00 120.00
With the nearest neighbours (Å) after each atom.
Element x y z (fractional)
1 Pm 0.0000 0.0000 0.0000  12 Rh 2.91-2.95
2 Pm 0.3333 0.6667 0.6885  9 Rh 2.98-3.29
3 Pm 0.6667 0.3333 0.3115  9 Rh 2.98-3.29
4 B 0.3333 0.6667 0.1423  6 Rh 2.05-2.13
5 B 0.6667 0.3333 0.8577  6 Rh 2.05-2.13
6 Rh 0.0000 0.5000 0.0000  2 B 2.13
7 Rh 0.1634 0.3268 0.2628  1 B 2.05
8 Rh 0.1634 0.8366 0.2628  1 B 2.05
9 Rh 0.3268 0.1634 0.7372  1 B 2.05
10 Rh 0.5000 0.0000 0.0000  2 B 2.13
11 Rh 0.5000 0.5000 0.0000  2 B 2.13
12 Rh 0.6732 0.8366 0.2628  1 B 2.05
13 Rh 0.8366 0.1634 0.7372  1 B 2.05
14 Rh 0.8366 0.6732 0.7372  1 B 2.05
15 Pb 0.0000 0.0000 0.5000  6 Rh 2.72


Entry 12:
The following is a DFT calculation (PBE-GGA) of a relaxed Pr4BPb2 crystal.

ΔE_f   -0.32 eV/atom
Calculated density   7.40 Mg/m³
Space group   No. 139
E_tot   -5.0673 eV per atom
Total magnetic moment   0.00 μB/cell

Lattice parameters (Å, degrees): 9.2875 9.2875 9.2875 148.19 148.19 45.60
With the nearest neighbours (Å) after each atom.
Element x y z (fractional)
1 Pr 0.0000 0.5000 0.5000  2 B 2.55
2 Pr 0.1673 0.1673 0.0000  1 B 2.86
3 Pr 0.5000 0.0000 0.5000  2 B 2.55
4 Pr 0.8327 0.8327 0.0000  1 B 2.86
5 B 0.0000 0.0000 0.0000  4 Pr 2.55
6 Pb 0.3607 0.3607 0.0000  9 Pr 3.31-3.63
7 Pb 0.6393 0.6393 0.0000  9 Pr 3.31-3.63